A geometry-optimized Zr2Ti2Se structure, computed with GGA-PBE.

The value obtained for the total energy is -6.797 eV per atom. The calculation puts the formation energy (no corrections) at 0.478 eV per atom. The energy above the most stable polymorph in this dataset is 671 meV per atom. Its magnetization is 3.47 μB/cell.

Lattice parameters (Å, degrees): 3.7799 3.7799 15.1691 90.00 90.00 90.00
Last column: nearest neighbours and their distance in Å.
Sites, in units of the cell vectors:
1 Zr 0.0000 0.5000 0.2500  4 Zr 2.67
2 Zr 0.0000 0.5000 0.7500  4 Zr 2.67
3 Zr 0.5000 0.0000 0.2500  4 Zr 2.67
4 Zr 0.5000 0.0000 0.7500  4 Zr 2.67
5 Ti 0.0000 0.0000 0.0890  1 Ti 2.70, 4 Se 2.99
6 Ti 0.0000 0.0000 0.9110  1 Ti 2.70, 4 Se 2.99
7 Ti 0.5000 0.5000 0.4110  1 Ti 2.70, 4 Se 2.99
8 Ti 0.5000 0.5000 0.5890  1 Ti 2.70, 4 Se 2.99
9 Se 0.0000 0.0000 0.5000  8 Ti 2.99
10 Se 0.5000 0.5000 0.0000  8 Ti 2.99



A geometry-optimized SiAsC2 structure, computed with GGA-PBE.

The value obtained for the total energy is -6.545 eV per atom. The calculation puts the formation energy (no corrections) at 0.585 eV per atom. The energy above the most stable polymorph in this dataset is 33 meV per atom. Its magnetization is 0.00 μB/cell.

Lattice parameters (Å, degrees): 3.1332 3.1334 5.6490 86.19 86.28 60.01
Last column: nearest neighbours and their distance in Å.
Sites, in units of the cell vectors:
1 Si 0.0000 0.0000 0.0000  4 C 1.87-1.94
2 As 0.6289 0.6257 0.5014  3 C 2.01-2.02
3 C 0.3397 0.3402 0.9176  3 Si 1.87
4 C 0.9758 0.9736 0.3440  1 Si 1.94, 3 As 2.01-2.02



A geometry-optimized Ni3MoOs structure, computed with GGA-PBE.

The value obtained for the total energy is -6.252 eV per atom. The energy above the most stable polymorph in this dataset is 0 meV per atom. Its magnetization is 2.96 μB/cell.

Lattice parameters (Å, degrees): 4.4453 4.4453 4.4453 90.00 90.00 90.00
Last column: nearest neighbours and their distance in Å.
Sites, in units of the cell vectors:
1 Ni 0.0000 0.0000 0.5000  2 Os 2.22
2 Ni 0.0000 0.5000 0.0000  2 Os 2.22
3 Ni 0.5000 0.0000 0.0000  2 Os 2.22
4 Mo 0.5000 0.5000 0.5000  12 Ni 3.14
5 Os 0.0000 0.0000 0.0000  6 Ni 2.22